A plane-wave DFT calculation with PBE with a Hubbard U was carried out for NaV2TeO8 after structural relaxation.

abc: 7.095 7.095 6.175
angles: 90.00 90.00 90.00
Space group I-4m2 (No. 119)
Inequivalent atoms, fractional coordinates:
Na1 0.000 0.000 0.000
V1 0.000 0.000 0.500
V2 0.000 0.500 0.250
Te1 0.000 0.500 0.750
O1 0.000 0.200 0.665
O2 0.000 0.321 0.055

Output
Energy in eV per atom: -6.321